(1)
Computed, not measured: crystalline Sm2SnIr at its relaxed geometry at the GGA-PBE level of DFT.

polymorph energy (0 for the lowest one): 68 meV/atom
energy: -6.252 eV/atom
formation energy from the elements: -0.68 eV/atom
magnetization: 0.00 μB/f.u.

Unit cell a=3.521 b=3.521 c=8.095 alpha=90.00 beta=90.00 gamma=90.00
Atoms (fractional coordinates):
Sn 0.500 0.500 0.500
Ir 0.500 0.500 0.000
Sm 0.000 0.000 0.789
Sm 0.000 0.000 0.211



(2)
Computed, not measured: crystalline Sm7Sn2Ir2 at its relaxed geometry at the GGA-PBE level of DFT.

energy: -5.856 eV/atom
formation energy from the elements: -0.51 eV/atom
magnetization: 0.00 μB/f.u.

Unit cell a=6.969 b=7.203 c=6.969 alpha=90.00 beta=105.97 gamma=90.00
Atoms (fractional coordinates):
Sm 0.500 0.751 0.000
Sm 0.000 0.751 0.500
Sm 0.000 0.249 0.500
Sm 0.500 0.238 0.500
Sm 0.500 0.762 0.500
Sm 0.000 0.000 0.000
Sm 0.500 0.249 0.000
Ir 0.285 0.000 0.715
Ir 0.715 0.000 0.285
Sn 0.178 0.500 0.178
Sn 0.822 0.500 0.822



(3)
Computed, not measured: crystalline Sm2SnIr at its relaxed geometry at the GGA-PBE level of DFT.

polymorph energy (0 for the lowest one): 0 meV/atom
energy: -6.319 eV/atom
formation energy from the elements: -0.74 eV/atom
magnetization: 0.00 μB/f.u.

Unit cell a=4.040 b=6.320 c=8.975 alpha=112.53 beta=90.00 gamma=90.00
Atoms (fractional coordinates):
Sm 0.250 0.777 0.107
Sm 0.750 0.209 0.453
Sm 0.250 0.791 0.547
Sm 0.750 0.223 0.893
Sn 0.250 0.332 0.204
Sn 0.750 0.668 0.796
Ir 0.250 0.320 0.703
Ir 0.750 0.680 0.297



(4)
Computed, not measured: crystalline Sm3Sn3Ir at its relaxed geometry at the GGA-PBE level of DFT.

energy: -5.771 eV/atom
formation energy from the elements: -0.77 eV/atom
magnetization: 0.00 μB/f.u.

Unit cell a=4.556 b=6.100 c=14.543 alpha=84.26 beta=80.99 gamma=68.07
Atoms (fractional coordinates):
Sn 0.124 0.828 0.924
Sn 0.850 0.766 0.533
Sn 0.025 0.186 0.765
Sn 0.975 0.814 0.235
Sn 0.876 0.172 0.076
Sn 0.150 0.234 0.467
Sm 0.261 0.235 0.243
Sm 0.401 0.277 0.922
Sm 0.520 0.340 0.619
Sm 0.599 0.723 0.078
Sm 0.480 0.660 0.381
Sm 0.739 0.765 0.757
Ir 0.753 0.111 0.382
Ir 0.247 0.889 0.618



(5)
Computed, not measured: crystalline SmSn2Ir at its relaxed geometry at the GGA-PBE level of DFT.

energy: -5.955 eV/atom
formation energy from the elements: -0.56 eV/atom
magnetization: 0.00 μB/f.u.

Unit cell a=5.764 b=5.877 c=7.066 alpha=78.42 beta=65.93 gamma=60.53
Atoms (fractional coordinates):
Sn 0.415 0.119 0.816
Sn 0.231 0.619 0.184
Sn 0.585 0.881 0.184
Sn 0.769 0.381 0.816
Ir 0.262 0.250 0.476
Ir 0.738 0.750 0.524
Sm 0.150 0.750 0.701
Sm 0.850 0.250 0.299



(6)
Computed, not measured: crystalline SmSn12Ir4 at its relaxed geometry at the GGA-PBE level of DFT.

energy: -5.392 eV/atom
formation energy from the elements: -0.20 eV/atom
magnetization: 0.00 μB/f.u.

Unit cell a=8.206 b=8.206 c=8.206 alpha=109.47 beta=109.47 gamma=109.47
Atoms (fractional coordinates):
Sn 0.497 0.160 0.338
Sn 0.840 0.338 0.178
Sn 0.338 0.497 0.160
Sn 0.840 0.662 0.503
Sn 0.160 0.662 0.822
Sn 0.662 0.503 0.840
Sn 0.822 0.160 0.662
Sn 0.160 0.338 0.497
Sn 0.178 0.840 0.338
Sn 0.503 0.840 0.662
Sn 0.338 0.178 0.840
Sn 0.662 0.822 0.160
Sm 0.000 0.000 0.000
Ir 0.000 0.000 0.500
Ir 0.500 0.000 0.000
Ir 0.500 0.500 0.500
Ir 0.000 0.500 0.000



(7)
Computed, not measured: crystalline Sm4Sn8Ir at its relaxed geometry at the GGA-PBE level of DFT.

energy: -5.204 eV/atom
formation energy from the elements: -0.61 eV/atom
magnetization: 0.00 μB/f.u.

Unit cell a=4.464 b=4.521 c=17.067 alpha=90.00 beta=90.00 gamma=90.00
Atoms (fractional coordinates):
Sm 0.500 0.500 0.393
Sm 0.000 0.500 0.607
Sm 0.500 0.000 0.899
Sm 0.000 0.000 0.095
Sn 0.500 0.500 0.054
Sn 0.000 0.500 0.232
Sn 0.500 0.500 0.755
Sn 0.000 0.500 0.933
Sn 0.500 0.000 0.579
Sn 0.000 0.000 0.752
Sn 0.000 0.000 0.464
Sn 0.500 0.000 0.230
Ir 0.000 0.000 0.313



(8)
Computed, not measured: crystalline SmSn2Ir at its relaxed geometry at the GGA-PBE level of DFT.

energy: -5.307 eV/atom
formation energy from the elements: 0.09 eV/atom
magnetization: 0.00 μB/f.u.

Unit cell a=3.341 b=3.341 c=10.556 alpha=80.89 beta=80.89 gamma=60.00
Atoms (fractional coordinates):
Sm 0.000 0.000 0.000
Sn 0.897 0.897 0.308
Sn 0.103 0.103 0.692
Ir 0.500 0.500 0.500